TaTc2Hg: optimized geometry, GGA-PBEsol.

Unit cell a=2.764 b=5.095 c=5.384 alpha=117.19 beta=103.12 gamma=93.61
Atoms (fractional coordinates):
Hg: 0.500 0.000 0.000
Ta: 0.000 0.500 0.000
Tc: 0.000 0.000 0.500
Tc: 0.500 0.500 0.500

Computed properties:
DOS(E_F): 3.47 states/eV per cell
DFT formation energy: 1.4 eV/f.u.
Total magnetic moment: 0.00 μB per cell
Crystal system: monoclinic